[1]
Below is a relaxed Pm3PrAu2 crystal, with properties calculated at the PBE level.

Lattice parameters (Å, degrees): 8.837 8.837 8.837 131.24 72.57 129.81
Atoms (fractional coordinates):
Pm  0.017  0.750  0.267
Pm  0.250  0.250  0.000
Pm  0.483  0.750  0.733
Pm  0.517  0.250  0.267
Pm  0.750  0.750  0.000
Pm  0.983  0.250  0.733
Pr  0.000  0.500  0.500
Pr  0.500  0.000  0.500
Au  0.142  0.201  0.343
Au  0.358  0.701  0.058
Au  0.642  0.299  0.942
Au  0.858  0.799  0.657

Computed properties:
SG	Ibam (72)


[2]
Below is a relaxed PmPrAu4 crystal, with properties calculated at the PBE level.

Lattice parameters (Å, degrees): 5.755 5.755 5.755 60.00 60.00 60.00
Atoms (fractional coordinates):
Pm  0.000  0.000  0.000
Pr  0.250  0.250  0.250
Au  0.125  0.625  0.625
Au  0.625  0.125  0.625
Au  0.625  0.625  0.125
Au  0.625  0.625  0.625

Computed properties:
SG	F-43m (216)


| no. | calculated formation energy (eV per formula unit) | relative energy among the computed polymorphs (eV per atom) | density of states at the Fermi level (states/eV per cell) |
| --- | --- | --- | --- |
| 1 | -2.4 | 0.1648 | 17.10 |
| 2 | -3.1 | 0.2535 | 4.69 |